This record from Alexandria via LeMat-Bulk describes a geometry-optimized Hf6MnIn2 structure. The functional is GGA-PBE.

Computed properties:
The space group is C2/m, No. 12. The calculation puts the energy of formation at 0.27 eV per atom.

Cell: 4.9443 6.3155 7.9636 Å, 113.36 108.02 90.00°
Sites, in units of the cell vectors:
Hf: 0.5000 0.2392 0.0000
Hf: 0.8641 0.1139 0.7273
Hf: 0.8641 0.6134 0.7273
Hf: 0.1359 0.8861 0.2727
Hf: 0.1359 0.3866 0.2727
Hf: 0.5000 0.7608 0.0000
In: 0.3181 0.3175 0.6349
In: 0.6819 0.6825 0.3651
Mn: 0.0000 0.0000 0.0000